No. 1
NdTmBi after structural relaxation, computed with GGA-PBE.

## Properties
Calculated volume, Å³/atom: 32.10
Uncorrected energy, eV per atom: -4.660
Density of states at the Fermi level, states/eV/atom: 1.265
Energy of formation from the pure elements, meV/atom: -287
Total magnetization, Bohr magnetons per cell: 0.0

a b c (Å): 5.2291 5.2291 4.0662
angles (deg): 90.00 90.00 120.00
Space group P3m1 (No. 156)
Asymmetric unit:
1 Nd 0.0000 0.0000 0.0000 [1 per cell]
2 Tm 0.3333 0.6667 0.5265 [1 per cell]
3 Bi 0.6667 0.3333 0.3931 [1 per cell]


No. 2
Sb2IrRu after structural relaxation, computed with GGA-PBE.

## Properties
Calculated volume, Å³/atom: 25.76
Formation energy (no corrections), eV/atom: 0.3309
Uncorrected energy, eV per atom: -6.265
Density of states at the Fermi level, states/eV/atom: 0.553
Total magnetization, Bohr magnetons per cell: 0.0
ΔE to the lowest computed polymorph, eV per atom: 0.303

a b c (Å): 5.9231 5.9231 11.7457
angles (deg): 90.00 90.00 90.00
Space group I-42d (No. 122)
Asymmetric unit:
1 Sb 0.2482 0.2500 0.1250 [8 per cell]
2 Ir 0.0000 0.0000 0.5000 [4 per cell]
3 Ru 0.0000 0.0000 0.0000 [4 per cell]


No. 3
LiOsRh2 after structural relaxation, computed with GGA-PBE.

## Properties
Calculated volume, Å³/atom: 13.59
Uncorrected energy, eV per atom: -6.696
Density of states at the Fermi level, states/eV/atom: 1.200
Energy of formation from the pure elements, meV/atom: 266
Total magnetization, Bohr magnetons per cell: 0.0
ΔE to the lowest computed polymorph, eV per atom: 0.280

a b c (Å): 6.0140 6.0140 6.0140
angles (deg): 90.00 90.00 90.00
Space group F-43m (No. 216)
Asymmetric unit:
1 Li 0.0000 0.0000 0.0000 [4 per cell]
2 Os 0.2500 0.2500 0.2500 [4 per cell]
3 Rh 0.0000 0.0000 0.5000 [4 per cell]
4 Rh 0.2500 0.2500 0.7500 [4 per cell]


No. 4
FeTeMoN2 after structural relaxation, computed with GGA-PBE.

## Properties
Calculated volume, Å³/atom: 17.43
Formation energy (no corrections), eV/atom: 0.7162
Uncorrected energy, eV per atom: -7.101
Density of states at the Fermi level, states/eV/atom: 1.340
Total magnetization, Bohr magnetons per cell: 3.4
ΔE to the lowest computed polymorph, eV per atom: 0.000

a b c (Å): 3.8978 3.8978 5.7353
angles (deg): 90.00 90.00 90.00
Space group P4/mmm (No. 123)
Asymmetric unit:
1 Fe 0.0000 0.0000 0.0000 [1 per cell]
2 Te 0.5000 0.5000 0.0000 [1 per cell]
3 Mo 0.5000 0.5000 0.5000 [1 per cell]
4 N 0.0000 0.5000 0.5000 [2 per cell]


No. 5
In3Ni after structural relaxation, computed with GGA-PBE.

## Properties
Calculated volume, Å³/atom: 20.97
Uncorrected energy, eV per atom: -3.563
Density of states at the Fermi level, states/eV/atom: 0.348
Energy of formation from the pure elements, meV/atom: -64
Total magnetization, Bohr magnetons per cell: 0.0

a b c (Å): 7.2297 8.0630 5.7568
angles (deg): 90.00 90.00 90.00
Space group Pnma (No. 62)
Asymmetric unit:
1 In 0.0206 0.2500 0.1170 [4 per cell]
2 In 0.1744 0.0583 0.6469 [8 per cell]
3 Ni 0.1327 0.7500 0.4551 [4 per cell]


No. 6
LaF after structural relaxation, computed with GGA-PBE.

## Properties
Calculated volume, Å³/atom: 27.51
Formation energy (no corrections), eV/atom: -2.4498
Uncorrected energy, eV per atom: -5.849
Density of states at the Fermi level, states/eV/atom: 0.500
Total magnetization, Bohr magnetons per cell: 3.7
ΔE to the lowest computed polymorph, eV per atom: 0.164

a b c (Å): 9.6589 9.6589 4.0859
angles (deg): 90.00 90.00 120.00
Space group P6_3/m (No. 176)
Asymmetric unit:
1 La 0.1345 0.7195 0.2500 [6 per cell]
2 F 0.0334 0.4235 0.2500 [6 per cell]


No. 7
Sm12Co6Cu after structural relaxation, computed with GGA-PBE.

## Properties
Calculated volume, Å³/atom: 24.87
Uncorrected energy, eV per atom: -5.543
Density of states at the Fermi level, states/eV/atom: 0.747
Energy of formation from the pure elements, meV/atom: -103
Total magnetization, Bohr magnetons per cell: 0.0

a b c (Å): 9.8130 9.8130 9.8130
angles (deg): 90.00 90.00 90.00
Space group Im-3 (No. 204)
Asymmetric unit:
1 Sm 0.0000 0.3031 0.1937 [24 per cell]
2 Co 0.0000 0.1128 0.5000 [12 per cell]
3 Cu 0.0000 0.0000 0.0000 [2 per cell]


No. 8
CaSmGaGe after structural relaxation, computed with GGA-PBE.

## Properties
Calculated volume, Å³/atom: 25.18
Uncorrected energy, eV per atom: -4.270
Density of states at the Fermi level, states/eV/atom: 0.532
Energy of formation from the pure elements, meV/atom: -679
Total magnetization, Bohr magnetons per cell: 0.0
ΔE to the lowest computed polymorph, eV per atom: 0.000

a b c (Å): 4.0983 4.4630 11.0117
angles (deg): 90.00 90.00 90.00
Space group Amm2 (No. 38)
Asymmetric unit:
1 Ca 0.0000 0.0000 0.0000 [2 per cell]
2 Sm 0.5000 0.0000 0.2775 [2 per cell]
3 Ga 0.5000 0.0000 0.5649 [2 per cell]
4 Ge 0.0000 0.0000 0.7171 [2 per cell]


The lowest uncorrected energy belongs to which entry? FeTeMoN2


The lowest calculated volume belongs to which entry? LiOsRh2